[1]
GdGaF | PBE-GGA | optimized geometry

Values from the calculation:
The formation energy (no corrections) comes out at -1.52 eV/atom. The size of the total moment is 8.0 Bohr magnetons per cell.

```
GdGaF
1.0
-0.188 3.151 -1.087
-2.532 -0.843 -2.006
-2.254 0.031 5.610
Gd Ga F
1 1 1
Direct
0.717 0.717 0.434
0.008 0.008 0.016
0.275 0.275 0.550
```



[2]
Cu2Pt3W | PBE-GGA | optimized geometry

Values from the calculation:
As for the energy of formation: -222 meV per atom. The size of the total moment is 0.0 Bohr magnetons per cell.

```
Cu2Pt3W
1.0
2.815 0.000 0.000
0.000 2.815 0.000
0.000 0.000 10.994
Cu Pt W
2 3 1
Direct
0.500 0.500 0.842
0.500 0.500 0.158
0.000 0.000 0.000
0.000 0.000 0.673
0.000 0.000 0.327
0.500 0.500 0.500
```



> The highest size of the total moment belongs to which entry?

GdGaF